(1)
Co2CuAuN | PBE | relaxed

Structure (POSCAR):
```
Co2CuAuN
1.0
-1.377 -0.197 3.516
-1.373 -3.446 -0.731
3.474 -1.652 1.268
Co Au Cu N
2 1 1 1
Cartesian
-0.686 -1.723 -0.365
-0.688 -0.099 1.758
0.362 -2.648 2.027
1.737 -0.826 0.634
0.000 0.000 0.000
```

Values from the calculation:
Formation energy (no corrections) in eV per atom: 0.089
Calculated volume in A^3/atom: 11.58
Crystal system: tetragonal
Calculated total energy in eV per atom: -5.893



(2)
NbCoCu2Au | PBE | relaxed

Structure (POSCAR):
```
NbCoCu2Au
1.0
4.743 0.000 0.000
0.000 4.361 0.000
0.000 0.000 4.743
Co Nb Au Cu
1 1 1 2
Cartesian
0.000 2.180 0.000
0.000 0.000 0.000
2.372 2.180 2.372
0.000 0.000 2.372
2.372 0.000 0.000
```

Values from the calculation:
Calculated volume in A^3/atom: 19.62
Crystal system: tetragonal
Calculated total energy in eV per atom: -4.286
ΔE_f in meV/atom: 1443.1